[1]
Entry from Alexandria: a relaxed structure of OsCSe2Br (PBE).

a = 4.305 Å, b = 4.305 Å, c = 4.346 Å
α = 90.00°, β = 90.00°, γ = 90.00°
Space group P4/mmm (No. 123)
Unique sites:
Os1 0.000 0.000 0.000
C1 0.500 0.500 0.500
Se1 0.000 0.500 0.500
Br1 0.500 0.500 0.000

## Properties
- mass density (g/cm3) = 9.1

***

[2]
Entry from Alexandria: a relaxed structure of OsCSeBr2 (PBE).

a = 5.216 Å, b = 5.216 Å, c = 4.633 Å
α = 90.00°, β = 90.00°, γ = 90.00°
Space group P4/mmm (No. 123)
Unique sites:
Os1 0.000 0.000 0.000
C1 0.500 0.500 0.500
Se1 0.000 0.000 0.500
Br1 0.000 0.500 0.000

## Properties
- mass density (g/cm3) = 5.8

***

Number 1: polymorph energy (0 for the lowest one) 21 meV/atom, Fermi-level density of states 4.10 states/eV/cell, uncorrected energy -0.14626 Ha/atom. Number 2: polymorph energy (0 for the lowest one) 0 meV/atom, Fermi-level density of states 4.67 states/eV/cell, uncorrected energy -0.13530 Ha/atom.